# KNbB

A relaxed structure of KNbB (PBE, the Open Quantum Materials Database).

a = 6.181 Å, b = 6.181 Å, c = 6.181 Å
α = 90.00°, β = 90.00°, γ = 90.00°
Space group F-43m (No. 216)
One atom of each set of equivalent atoms:
K (0.000, 0.000, 0.000) x4
Nb (0.000, 0.000, 0.500) x4
B (0.250, 0.250, 0.250) x4

=====

# CdInCuTc

A relaxed structure of CdInCuTc (PBE, the Open Quantum Materials Database).

a = 6.474 Å, b = 6.474 Å, c = 6.474 Å
α = 90.00°, β = 90.00°, γ = 90.00°
Space group F-43m (No. 216)
One atom of each set of equivalent atoms:
Cd (0.000, 0.000, 0.000) x4
In (0.000, 0.000, 0.500) x4
Cu (0.250, 0.250, 0.750) x4
Tc (0.250, 0.250, 0.250) x4

=====

# PrNiB4

A relaxed structure of PrNiB4 (PBE, the Open Quantum Materials Database).

a = 7.711 Å, b = 7.711 Å, c = 8.665 Å
α = 90.00°, β = 90.00°, γ = 90.00°
Space group I4/mmm (No. 139)
One atom of each set of equivalent atoms:
Pr (0.000, 0.000, 0.205) x4
Pr (0.000, 0.500, 0.250) x4
Ni (0.000, 0.228, 0.500) x8
B (0.113, 0.276, 0.000) x16
B (0.236, 0.236, 0.348) x16

=====

| no. | DFT total energy (eV per atom) |
| --- | --- |
| 1 | -4.15 |
| 2 | -4.06 |
| 3 | -6.69 |